Entry 1:
A relaxed Rb3PdCl crystal. Source: Alexandria, functional PBE-GGA.

a b c (Å): 6.1739 6.1739 6.1739
angles (deg): 90.00 90.00 90.00
Last column: nearest neighbours and their distance in Å.
Fractional positions:
Cl  0.0000  0.0000  0.0000  6 Rb 3.09
Rb  0.0000  0.5000  0.0000  2 Cl 3.09
Rb  0.5000  0.0000  0.0000  2 Cl 3.09
Pd  0.5000  0.5000  0.5000  12 Rb 4.37
Rb  0.0000  0.0000  0.5000  2 Cl 3.09

Results
- DFT total energy: -2.53 eV/atom
- Raw formation energy: -0.54 eV/atom
- Total magnetization: 0.00 Bohr magnetons per cell
- E above lowest polymorph: 0 kJ/mol of formula units



Entry 2:
A relaxed CuIrOF2 crystal. Source: Alexandria, functional PBE-GGA.

a b c (Å): 4.3293 4.3293 3.7355
angles (deg): 90.00 90.00 90.00
Last column: nearest neighbours and their distance in Å.
Fractional positions:
Cu  0.5000  0.5000  0.5000  8 F 2.86, 4 O 3.06
O  0.0000  0.0000  0.5000  2 Ir 1.87
Ir  0.0000  0.0000  0.0000  2 O 1.87
F  0.0000  0.5000  0.0000  2 Ir 2.16
F  0.5000  0.0000  0.0000  2 Ir 2.16

Results
- DFT total energy: -4.71 eV/atom
- Raw formation energy: -0.38 eV/atom
- Total magnetization: 0.00 Bohr magnetons per cell
- E above lowest polymorph: 0 kJ/mol of formula units



What is the DFT total energy in the first record?
-2.53 eV/atom